The following is a PBE-GGA calculation of a relaxed Li10NO4 crystal, from Alexandria.

```
Li10NO4
1.0
4.312 0.000 1.947
2.156 5.242 0.974
-0.001 0.000 5.751
Li N O
10 1 4
direct
0.250 0.500 0.500 Li
0.643 0.303 0.899 Li
0.054 0.101 0.303 Li
0.458 0.899 0.697 Li
0.845 0.697 0.101 Li
0.357 0.697 0.101 Li
0.750 0.500 0.500 Li
0.155 0.303 0.899 Li
0.542 0.101 0.303 Li
0.946 0.899 0.697 Li
0.000 0.000 0.000 N
0.399 0.799 0.404 O
0.802 0.596 0.799 O
0.198 0.404 0.201 O
0.601 0.201 0.596 O
```

Output
raw formation energy	-21.58	eV per formula unit
mass density	1.88	g/cm³
DFT total energy	-4.592	eV/atom
total moment	1.0	μB per formula unit